A plane-wave DFT calculation with GGA-PBE was carried out for crystalline UMnV2 at its relaxed geometry.

Cell lengths 6.1077, 6.1077, 6.1077 Å; angles 90.00, 90.00, 90.00 degrees
Closest atoms and distances in Å follow each position.
Space group Fm-3m (No. 225)
One atom of each set of equivalent atoms:
U: 0.0000 0.0000 0.0000 [4 per cell]  8 V 2.64
Mn: 0.0000 0.0000 0.5000 [4 per cell]  8 V 2.64
V: 0.2500 0.2500 0.2500 [8 per cell]  4 Mn 2.64, 4 U 2.64

Calculated values
Polymorph energy (0 for the lowest one) = 0 meV/atom
Magnetic moment = 0.00 μB per formula unit
Formation energy from the elements = 0.15 eV/atom